DFT (PBE) results for a relaxed structure of La2CdPdO5.

SG	No. 127
calculated density	6.949	g/cm3
spin magnetization	0.000	μB/f.u.
uncorrected energy	-6.56	eV/atom
raw formation energy	-2030.3	meV per atom

abc: 6.916 6.916 5.761
angles: 90.00 90.00 90.00
Fractional positions:
La1 0.174 0.326 0.000
La2 0.326 0.826 0.000
La3 0.674 0.174 0.000
La4 0.826 0.674 0.000
Cd1 0.000 0.000 0.500
Cd2 0.500 0.500 0.500
Pd1 0.000 0.500 0.500
Pd2 0.500 0.000 0.500
O1 0.000 0.000 0.000
O2 0.145 0.645 0.256
O3 0.145 0.645 0.744
O4 0.355 0.145 0.256
O5 0.355 0.145 0.744
O6 0.500 0.500 0.000
O7 0.645 0.855 0.256
O8 0.645 0.855 0.744
O9 0.855 0.355 0.256
O10 0.855 0.355 0.744